{"formula": "Pr2BiS4", "functional": "PBE-GGA", "state": "relaxed", "mass_density_g_cm3": 5.1, "formation_energy_uncorrected_ev_per_atom": -1.369, "dft_energy_ev_per_atom": -5.647, "lattice_angstrom": [[7.5670, -2.0405, 0.0000], [7.5670, 2.0405, 0.0000], [-3.3159, 0.0000, 6.5310]], "species": ["Pr", "Pr", "Bi", "S", "S", "S", "S"], "fractional_positions": [[0.2231, 0.2231, 0.2136], [0.7769, 0.7769, 0.7864], [0.5000, 0.5000, 0.5000], [0.1397, 0.1397, 0.4976], [0.3722, 0.3722, 0.0688], [0.6278, 0.6278, 0.9312], [0.8603, 0.8603, 0.5024]]}

=====

{"formula": "Pr5Bi4S", "functional": "PBE-GGA", "state": "relaxed", "mass_density_g_cm3": 7.8, "formation_energy_uncorrected_ev_per_atom": -1.111, "dft_energy_ev_per_atom": -5.466, "lattice_angstrom": [[-2.2813, 2.2813, 16.0254], [2.2813, -2.2813, 16.0254], [2.2813, 2.2813, -16.0254]], "species": ["Pr", "Pr", "Pr", "Pr", "Pr", "Bi", "Bi", "Bi", "Bi", "S"], "fractional_positions": [[0.0000, 0.0000, 0.0000], [0.2008, 0.2008, 0.0000], [0.4084, 0.4084, 0.0000], [0.5916, 0.5916, 0.0000], [0.7992, 0.7992, 0.0000], [0.0992, 0.0992, 0.0000], [0.3034, 0.3034, 0.0000], [0.6966, 0.6966, 0.0000], [0.9008, 0.9008, 0.0000], [0.5000, 0.5000, 0.0000]]}

=====

{"formula": "Pr2BiS", "functional": "PBE-GGA", "state": "relaxed", "mass_density_g_cm3": 7.3, "formation_energy_uncorrected_ev_per_atom": -1.433, "dft_energy_ev_per_atom": -5.825, "relative_energy_mev_per_atom": 0, "lattice_angstrom": [[4.3717, 0.0000, 0.0000], [-2.1858, 3.7860, 0.0000], [0.0000, 0.0000, 21.4363]], "species": ["Pr", "Pr", "Pr", "Pr", "Pr", "Pr", "Bi", "Bi", "Bi", "S", "S", "S"], "fractional_positions": [[0.0000, 0.0000, 0.2178], [0.0000, 0.0000, 0.7822], [0.3333, 0.6667, 0.4060], [0.3333, 0.6667, 0.9290], [0.6667, 0.3333, 0.0710], [0.6667, 0.3333, 0.5940], [0.0000, 0.0000, 0.5000], [0.3333, 0.6667, 0.6878], [0.6667, 0.3333, 0.3122], [0.0000, 0.0000, 0.0000], [0.3333, 0.6667, 0.1458], [0.6667, 0.3333, 0.8542]]}